# CaScV2 GGA-PBE optimized geometry
# Uncorrected energy, eV per atom: -5.572
# Energy above the most stable polymorph in this dataset, eV/atom: 0.356
# Calculated volume, Å³ per atom: 24.32
# DFT formation energy, eV per atom: 1.07
data_CaScV2
_chemical_formula_sum 'Ca4 Sc4 V8'
_cell_length_a 4.407
_cell_length_b 4.407
_cell_length_c 20.038
_cell_angle_alpha 90.00
_cell_angle_beta 90.00
_cell_angle_gamma 90.00
_space_group_name_H-M_alt 'P 1'
_space_group_IT_number 1
_space_group_name_Hall 'P 1'
loop_
_atom_site_label
_atom_site_fract_x
_atom_site_fract_y
_atom_site_fract_z
Ca1 0.000 0.000 0.000
Ca2 0.000 0.500 0.250
Ca3 0.500 0.000 0.750
Ca4 0.500 0.500 0.500
Sc1 0.000 0.000 0.500
Sc2 0.000 0.500 0.750
Sc3 0.500 0.000 0.250
Sc4 0.500 0.500 0.000
V1 0.044 0.250 0.625
V2 0.250 0.544 0.875
V3 0.250 0.956 0.375
V4 0.456 0.250 0.125
V5 0.544 0.750 0.125
V6 0.750 0.044 0.375
V7 0.750 0.456 0.875
V8 0.956 0.750 0.625